Record 1
VASP calculation (PBE) on a geometry-optimized MnInSb2 structure.

- Raw formation energy: 29 kJ/mol of atoms

a b c (Å): 6.179 6.179 6.179
angles (deg): 139.71 139.71 58.29
Sites, in units of the cell vectors:
Mn: 0.000 0.000 0.000
In: 0.750 0.250 0.500
Sb: 0.250 0.750 0.500
Sb: 0.500 0.500 0.000

Record 2
VASP calculation (PBE) on a geometry-optimized TbHoMnCu structure.

- Energy of formation: 0.03 eV per atom

a b c (Å): 4.950 4.950 4.950
angles (deg): 60.00 60.00 60.00
Sites, in units of the cell vectors:
Tb: 0.000 0.000 0.000
Ho: 0.500 0.500 0.500
Mn: 0.750 0.750 0.750
Cu: 0.250 0.250 0.250

Record 3
VASP calculation (PBE) on a geometry-optimized TaSbW2 structure.

- Raw formation energy: 53 kJ/mol of atoms

a b c (Å): 8.784 8.784 8.784
angles (deg): 20.67 20.67 20.67
Sites, in units of the cell vectors:
Ta: 0.000 0.000 0.000
Sb: 0.500 0.500 0.500
W: 0.253 0.253 0.253
W: 0.747 0.747 0.747

Record 4
VASP calculation (PBE) on a geometry-optimized YScAs2Se structure.

- Raw formation energy: -54 kJ/mol of atoms
- Distance to the lowest polymorph of the same formula: 0.0 kJ/mol of formula units

a b c (Å): 5.037 5.037 5.097
angles (deg): 90.00 90.00 90.00
Sites, in units of the cell vectors:
Y: 0.000 0.000 0.000
Sc: 0.500 0.500 0.500
As: 0.000 0.500 0.500
As: 0.500 0.000 0.500
Se: 0.500 0.500 0.000